Compound: MnCrN2O
Source: Alexandria via LeMat-Bulk
Functional: GGA+U
Structure: relaxed

## Properties
Electronic total energy in eV/atom: -7.107

a = 3.7241 Å, b = 3.7241 Å, c = 3.9979 Å
α = 90.00°, β = 90.00°, γ = 90.00°
Closest atoms and distances in Å follow each position.
Sites, in units of the cell vectors:
Mn (0.0000, 0.0000, 0.0000)  4 O 2.63, 8 N 2.73
Cr (0.5000, 0.5000, 0.5000)  4 N 1.86, 2 O 2.00
N (0.0000, 0.5000, 0.5000)  2 Cr 1.86
N (0.5000, 0.0000, 0.5000)  2 Cr 1.86
O (0.5000, 0.5000, 0.0000)  2 Cr 2.00

---

Compound: MnCrN2O
Source: Alexandria via LeMat-Bulk
Functional: GGA+U
Structure: relaxed

## Properties
Electronic total energy in eV/atom: -6.301

a = 3.8063 Å, b = 3.8063 Å, c = 3.6414 Å
α = 90.00°, β = 90.00°, γ = 90.00°
Closest atoms and distances in Å follow each position.
Sites, in units of the cell vectors:
Mn (0.0000, 0.0000, 0.0000)  2 O 1.82, 4 N 1.90
Cr (0.5000, 0.5000, 0.5000)  8 N 2.63, 4 O 2.69
N (0.0000, 0.5000, 0.0000)  2 Mn 1.90
N (0.5000, 0.0000, 0.0000)  2 Mn 1.90
O (0.0000, 0.0000, 0.5000)  2 Mn 1.82